No. 1
! TbPmAgPd, optimized geometry, DFT PBE; values from VASP
! * formation energy from the elements: -541 meV/atom
! * energy above the lowest structure with this stoichiometry: 0.017 eV per atom
! * VASP energy: -19.6 eV per cell
&SYSTEM
  ibrav = 0, nat = 4, ntyp = 4
/
ATOMIC_SPECIES
Tb 158.93 Tb.upf
Pd 106.42 Pd.upf
Ag 107.87 Ag.upf
Pm 145.00 Pm.upf
CELL_PARAMETERS angstrom
5.128 0.000 0.000
2.564 4.441 0.000
2.564 1.480 4.187
ATOMIC_POSITIONS crystal
Tb 0.000 0.000 0.000
Pd 0.750 0.750 0.750
Ag 0.250 0.250 0.250
Pm 0.500 0.500 0.500

No. 2
! PmAgTePd, optimized geometry, DFT PBE; values from VASP
! * VASP energy: -17.8 eV per cell
&SYSTEM
  ibrav = 0, nat = 4, ntyp = 4
/
ATOMIC_SPECIES
Te 127.60 Te.upf
Pd 106.42 Pd.upf
Ag 107.87 Ag.upf
Pm 145.00 Pm.upf
CELL_PARAMETERS angstrom
-0.234 -4.680 -1.872
3.202 -1.429 -3.628
3.662 -3.315 1.029
ATOMIC_POSITIONS crystal
Te 0.250 0.250 0.250
Pd 0.000 0.000 0.000
Ag 0.500 0.500 0.500
Pm 0.750 0.750 0.750

No. 3
! PmTmAgPd, optimized geometry, DFT PBE; values from VASP
! * formation energy from the elements: -563 meV/atom
! * energy above the lowest structure with this stoichiometry: 0.013 eV per atom
! * VASP energy: -19.5 eV per cell
&SYSTEM
  ibrav = 0, nat = 4, ntyp = 4
/
ATOMIC_SPECIES
Tm 168.93 Tm.upf
Pd 106.42 Pd.upf
Ag 107.87 Ag.upf
Pm 145.00 Pm.upf
CELL_PARAMETERS angstrom
-2.324 1.981 4.066
-2.945 -2.935 2.927
1.532 -1.277 4.678
ATOMIC_POSITIONS crystal
Tm 0.500 0.500 0.500
Pd 0.750 0.750 0.750
Ag 0.250 0.250 0.250
Pm 0.000 0.000 0.000

Number 1: size of the total moment 0.0 μB per formula unit. Number 2: size of the total moment 0.0 μB per formula unit. Number 3: size of the total moment 0.0 μB per formula unit.